NiSeO2 | Alexandria via LeMat-Bulk | GGA+U | relaxed; electronic total energy = -18.3 eV/f.u.; crystal system = triclinic
1.0
3.797 0.000 0.000
0.399 5.559 0.000
1.004 0.980 5.730
Ni Se O
2 2 4
direct
0.000 0.000 0.000
0.251 0.415 0.170
0.434 0.929 0.285
0.958 0.505 0.747
0.201 0.685 0.879
0.223 0.244 0.728
0.250 0.624 0.406
0.775 0.344 0.075